Material: SrZn2FeO4
Method: DFT, GGA+U
State: optimized geometry

Results
Volume in Å³/atom: 14.44
VASP energy in eV per atom: -5.379

```
data_SrZn2FeO4
_chemical_formula_sum 'Sr2 Zn4 Fe2 O8'
_cell_length_a 4.978
_cell_length_b 4.978
_cell_length_c 9.319
_cell_angle_alpha 90.00
_cell_angle_beta 90.00
_cell_angle_gamma 90.00
_symmetry_space_group_name_H-M 'I -4 2 m'
_symmetry_Int_Tables_number 121
_symmetry_space_group_name_Hall 'I -4 2'
loop_
_atom_site_label
_atom_site_type_symbol
_atom_site_fract_x
_atom_site_fract_y
_atom_site_fract_z
Sr1 Sr 0.000 0.000 0.000
Zn1 Zn 0.000 0.500 0.250
Fe1 Fe 0.000 0.000 0.500
O1 O 0.219 0.219 0.643
```